(1)
K3Mo10O30: optimized geometry, PBE with a Hubbard U.

Computed properties:
As for the space group: C2/m, No. 12. The calculated total energy comes out at -6.8363 eV/atom.

a b c (Å): 10.279 10.279 10.255
angles (deg): 117.04 117.04 43.92
Sites, in units of the cell vectors:
K (0.000, 0.000, 0.000)
K (0.320, 0.320, 0.772)
K (0.680, 0.680, 0.228)
Mo (0.111, 0.610, 0.155)
Mo (0.167, 0.678, 0.540)
Mo (0.276, 0.276, 0.328)
Mo (0.322, 0.833, 0.460)
Mo (0.390, 0.889, 0.845)
Mo (0.610, 0.111, 0.155)
Mo (0.678, 0.167, 0.540)
Mo (0.724, 0.724, 0.672)
Mo (0.833, 0.322, 0.460)
Mo (0.889, 0.390, 0.845)
O (0.000, 0.500, 0.000)
O (0.072, 0.558, 0.339)
O (0.077, 0.077, 0.486)
O (0.141, 0.141, 0.830)
O (0.149, 0.659, 0.689)
O (0.184, 0.184, 0.166)
O (0.190, 0.627, 0.051)
O (0.216, 0.703, 0.356)
O (0.253, 0.253, 0.472)
O (0.297, 0.784, 0.644)
O (0.341, 0.851, 0.311)
O (0.344, 0.344, 0.188)
O (0.373, 0.810, 0.949)
O (0.412, 0.412, 0.506)
O (0.442, 0.928, 0.661)
O (0.500, 0.000, 0.000)
O (0.558, 0.072, 0.339)
O (0.588, 0.588, 0.494)
O (0.627, 0.190, 0.051)
O (0.656, 0.656, 0.812)
O (0.659, 0.149, 0.689)
O (0.703, 0.216, 0.356)
O (0.747, 0.747, 0.528)
O (0.784, 0.297, 0.644)
O (0.810, 0.373, 0.949)
O (0.816, 0.816, 0.834)
O (0.851, 0.341, 0.311)
O (0.859, 0.859, 0.170)
O (0.923, 0.923, 0.514)
O (0.928, 0.442, 0.661)

***

(2)
KMo2O: optimized geometry, PBE with a Hubbard U.

Computed properties:
As for the space group: I4_1/amd, No. 141. The calculated total energy comes out at -4.8223 eV/atom.

a b c (Å): 7.070 7.070 7.070
angles (deg): 120.07 120.07 89.87
Sites, in units of the cell vectors:
K (0.375, 0.625, 0.750)
K (0.625, 0.375, 0.250)
Mo (0.000, 0.000, 0.000)
Mo (0.000, 0.000, 0.500)
Mo (0.000, 0.500, 0.000)
Mo (0.500, 0.000, 0.500)
O (0.125, 0.875, 0.250)
O (0.875, 0.125, 0.750)

***

(3)
K2MoOsO6: optimized geometry, PBE with a Hubbard U.

Computed properties:
As for the space group: P4/mmm, No. 123. The calculated total energy comes out at -6.5265 eV/atom.

a b c (Å): 5.602 5.602 3.951
angles (deg): 90.00 90.00 90.00
Sites, in units of the cell vectors:
K (0.000, 0.500, 0.000)
K (0.500, 0.000, 0.000)
Mo (0.000, 0.000, 0.500)
Os (0.500, 0.500, 0.500)
O (0.000, 0.000, 0.000)
O (0.248, 0.248, 0.500)
O (0.248, 0.752, 0.500)
O (0.500, 0.500, 0.000)
O (0.752, 0.248, 0.500)
O (0.752, 0.752, 0.500)

***

(4)
K2MoOs3O12: optimized geometry, PBE with a Hubbard U.

Computed properties:
As for the space group: R-3m, No. 166. The calculated total energy comes out at -6.9819 eV/atom.

a b c (Å): 7.318 7.318 7.318
angles (deg): 59.07 59.07 59.07
Sites, in units of the cell vectors:
K (0.128, 0.128, 0.128)
K (0.872, 0.872, 0.872)
Mo (0.500, 0.500, 0.500)
Os (0.000, 0.500, 0.500)
Os (0.500, 0.000, 0.500)
Os (0.500, 0.500, 0.000)
O (0.181, 0.569, 0.569)
O (0.191, 0.191, 0.570)
O (0.191, 0.570, 0.191)
O (0.430, 0.809, 0.809)
O (0.431, 0.431, 0.819)
O (0.431, 0.819, 0.431)
O (0.569, 0.181, 0.569)
O (0.569, 0.569, 0.181)
O (0.570, 0.191, 0.191)
O (0.809, 0.430, 0.809)
O (0.809, 0.809, 0.430)
O (0.819, 0.431, 0.431)

***

(5)
KMoOsO6: optimized geometry, PBE with a Hubbard U.

Computed properties:
As for the space group: Imma, No. 74. The calculated total energy comes out at -6.8682 eV/atom.

a b c (Å): 7.313 7.313 7.313
angles (deg): 120.87 119.45 89.73
Sites, in units of the cell vectors:
K (0.359, 0.109, 0.250)
K (0.641, 0.891, 0.750)
Mo (0.000, 0.500, 0.500)
Mo (0.500, 0.500, 0.000)
Os (0.000, 0.000, 0.500)
Os (0.000, 0.500, 0.000)
O (0.058, 0.431, 0.245)
O (0.058, 0.813, 0.627)
O (0.064, 0.814, 0.250)
O (0.314, 0.187, 0.745)
O (0.314, 0.569, 0.127)
O (0.315, 0.565, 0.750)
O (0.685, 0.435, 0.250)
O (0.686, 0.431, 0.873)
O (0.686, 0.813, 0.255)
O (0.936, 0.186, 0.750)
O (0.942, 0.187, 0.373)
O (0.942, 0.569, 0.755)

***

(6)
KMoOs2O8: optimized geometry, PBE with a Hubbard U.

Computed properties:
As for the space group: P-3, No. 147. The calculated total energy comes out at -6.9879 eV/atom.

a b c (Å): 5.677 5.677 7.690
angles (deg): 90.00 90.00 120.00
Sites, in units of the cell vectors:
K (0.000, 0.000, 0.000)
Mo (0.000, 0.000, 0.500)
Os (0.333, 0.667, 0.745)
Os (0.667, 0.333, 0.255)
O (0.090, 0.327, 0.666)
O (0.237, 0.910, 0.666)
O (0.327, 0.237, 0.334)
O (0.333, 0.667, 0.975)
O (0.667, 0.333, 0.025)
O (0.673, 0.763, 0.666)
O (0.763, 0.090, 0.334)
O (0.910, 0.673, 0.334)

***

(7)
KMo2P3O13: optimized geometry, PBE with a Hubbard U.

Computed properties:
As for the space group: C2/c, No. 15. The calculated total energy comes out at -7.0975 eV/atom.

a b c (Å): 9.037 9.037 9.061
angles (deg): 110.89 110.89 105.76
Sites, in units of the cell vectors:
K (0.000, 0.500, 0.000)
K (0.500, 0.000, 0.500)
Mo (0.160, 0.327, 0.666)
Mo (0.327, 0.160, 0.166)
Mo (0.673, 0.840, 0.834)
Mo (0.840, 0.673, 0.334)
P (0.012, 0.988, 0.250)
P (0.240, 0.653, 0.565)
P (0.347, 0.760, 0.935)
P (0.653, 0.240, 0.065)
P (0.760, 0.347, 0.435)
P (0.988, 0.012, 0.750)
O (0.006, 0.104, 0.417)
O (0.056, 0.207, 0.787)
O (0.104, 0.006, 0.917)
O (0.106, 0.657, 0.411)
O (0.197, 0.464, 0.534)
O (0.207, 0.056, 0.287)
O (0.238, 0.762, 0.750)
O (0.249, 0.569, 0.896)
O (0.306, 0.351, 0.230)
O (0.343, 0.894, 0.089)
O (0.351, 0.306, 0.730)
O (0.431, 0.751, 0.604)
O (0.464, 0.197, 0.034)
O (0.536, 0.803, 0.966)
O (0.569, 0.249, 0.396)
O (0.649, 0.694, 0.270)
O (0.657, 0.106, 0.911)
O (0.694, 0.649, 0.770)
O (0.751, 0.431, 0.104)
O (0.762, 0.238, 0.250)
O (0.793, 0.944, 0.713)
O (0.803, 0.536, 0.466)
O (0.894, 0.343, 0.589)
O (0.896, 0.994, 0.083)
O (0.944, 0.793, 0.213)
O (0.994, 0.896, 0.583)

***

(8)
K2Mo2P2O11: optimized geometry, PBE with a Hubbard U.

Computed properties:
As for the space group: Pbcn, No. 60. The value obtained for the energy above the most stable polymorph in this dataset is 0.061 eV per atom.

a b c (Å): 9.432 9.141 11.115
angles (deg): 90.00 90.00 90.00
Sites, in units of the cell vectors:
K (0.200, 0.011, 0.084)
K (0.200, 0.989, 0.584)
K (0.300, 0.489, 0.584)
K (0.300, 0.511, 0.084)
K (0.700, 0.489, 0.916)
K (0.700, 0.511, 0.416)
K (0.800, 0.011, 0.416)
K (0.800, 0.989, 0.916)
Mo (0.078, 0.274, 0.346)
Mo (0.078, 0.726, 0.846)
Mo (0.422, 0.226, 0.846)
Mo (0.422, 0.774, 0.346)
Mo (0.578, 0.226, 0.654)
Mo (0.578, 0.774, 0.154)
Mo (0.922, 0.274, 0.154)
Mo (0.922, 0.726, 0.654)
P (0.071, 0.327, 0.873)
P (0.071, 0.673, 0.373)
P (0.429, 0.173, 0.373)
P (0.429, 0.827, 0.873)
P (0.571, 0.173, 0.127)
P (0.571, 0.827, 0.627)
P (0.929, 0.327, 0.627)
P (0.929, 0.673, 0.127)
O (0.000, 0.264, 0.750)
O (0.000, 0.736, 0.250)
O (0.049, 0.304, 0.535)
O (0.049, 0.696, 0.035)
O (0.078, 0.085, 0.363)
O (0.078, 0.915, 0.863)
O (0.110, 0.486, 0.856)
O (0.110, 0.514, 0.356)
O (0.128, 0.305, 0.175)
O (0.128, 0.695, 0.675)
O (0.198, 0.227, 0.897)
O (0.198, 0.773, 0.397)
O (0.302, 0.273, 0.397)
O (0.302, 0.727, 0.897)
O (0.372, 0.195, 0.675)
O (0.372, 0.805, 0.175)
O (0.390, 0.014, 0.356)
O (0.390, 0.986, 0.856)
O (0.422, 0.415, 0.863)
O (0.422, 0.585, 0.363)
O (0.451, 0.196, 0.035)
O (0.451, 0.804, 0.535)
O (0.500, 0.236, 0.250)
O (0.500, 0.764, 0.750)
O (0.549, 0.196, 0.465)
O (0.549, 0.804, 0.965)
O (0.578, 0.415, 0.637)
O (0.578, 0.585, 0.137)
O (0.610, 0.014, 0.144)
O (0.610, 0.986, 0.644)
O (0.628, 0.195, 0.825)
O (0.628, 0.805, 0.325)
O (0.698, 0.273, 0.103)
O (0.698, 0.727, 0.603)
O (0.802, 0.227, 0.603)
O (0.802, 0.773, 0.103)
O (0.872, 0.305, 0.325)
O (0.872, 0.695, 0.825)
O (0.890, 0.486, 0.644)
O (0.890, 0.514, 0.144)
O (0.922, 0.085, 0.137)
O (0.922, 0.915, 0.637)
O (0.951, 0.304, 0.965)
O (0.951, 0.696, 0.465)

***

(9)
KMoPO2: optimized geometry, PBE with a Hubbard U.

Computed properties:
As for the space group: P4/mmm, No. 123. The value obtained for the energy above the most stable polymorph in this dataset is 1.990 eV per atom.

a b c (Å): 4.362 4.362 6.507
angles (deg): 90.00 90.00 90.00
Sites, in units of the cell vectors:
K (0.000, 0.000, 0.000)
Mo (0.500, 0.500, 0.500)
P (0.000, 0.000, 0.500)
O (0.000, 0.500, 0.000)
O (0.500, 0.000, 0.000)

***

(10)
K3Mo12PO40: optimized geometry, PBE with a Hubbard U.

Computed properties:
As for the space group: Pn-3m, No. 224. The calculated total energy comes out at -6.9032 eV/atom.

a b c (Å): 11.938 11.938 11.938
angles (deg): 90.00 90.00 90.00
Sites, in units of the cell vectors:
K (0.250, 0.250, 0.750)
K (0.250, 0.750, 0.250)
K (0.250, 0.750, 0.750)
K (0.750, 0.250, 0.250)
K (0.750, 0.250, 0.750)
K (0.750, 0.750, 0.250)
Mo (0.036, 0.036, 0.242)
Mo (0.036, 0.242, 0.036)
Mo (0.036, 0.258, 0.464)
Mo (0.036, 0.464, 0.258)
Mo (0.242, 0.036, 0.036)
Mo (0.242, 0.464, 0.464)
Mo (0.258, 0.036, 0.464)
Mo (0.258, 0.464, 0.036)
Mo (0.464, 0.036, 0.258)
Mo (0.464, 0.242, 0.464)
Mo (0.464, 0.258, 0.036)
Mo (0.464, 0.464, 0.242)
Mo (0.536, 0.536, 0.758)
Mo (0.536, 0.742, 0.964)
Mo (0.536, 0.758, 0.536)
Mo (0.536, 0.964, 0.742)
Mo (0.742, 0.536, 0.964)
Mo (0.742, 0.964, 0.536)
Mo (0.758, 0.536, 0.536)
Mo (0.758, 0.964, 0.964)
Mo (0.964, 0.536, 0.742)
Mo (0.964, 0.742, 0.536)
Mo (0.964, 0.758, 0.964)
Mo (0.964, 0.964, 0.758)
P (0.250, 0.250, 0.250)
P (0.750, 0.750, 0.750)
O (0.004, 0.652, 0.848)
O (0.004, 0.848, 0.652)
O (0.034, 0.626, 0.626)
O (0.034, 0.874, 0.874)
O (0.064, 0.064, 0.734)
O (0.064, 0.436, 0.766)
O (0.064, 0.734, 0.064)
O (0.064, 0.766, 0.436)
O (0.126, 0.126, 0.966)
O (0.126, 0.374, 0.534)
O (0.126, 0.534, 0.374)
O (0.126, 0.966, 0.126)
O (0.152, 0.152, 0.504)
O (0.152, 0.348, 0.996)
O (0.152, 0.504, 0.152)
O (0.152, 0.996, 0.348)
O (0.175, 0.175, 0.175)
O (0.175, 0.325, 0.325)
O (0.234, 0.564, 0.936)
O (0.234, 0.936, 0.564)
O (0.266, 0.564, 0.564)
O (0.266, 0.936, 0.936)
O (0.325, 0.175, 0.325)
O (0.325, 0.325, 0.175)
O (0.348, 0.152, 0.996)
O (0.348, 0.348, 0.504)
O (0.348, 0.504, 0.348)
O (0.348, 0.996, 0.152)
O (0.374, 0.126, 0.534)
O (0.374, 0.374, 0.966)
O (0.374, 0.534, 0.126)
O (0.374, 0.966, 0.374)
O (0.436, 0.064, 0.766)
O (0.436, 0.436, 0.734)
O (0.436, 0.734, 0.436)
O (0.436, 0.766, 0.064)
O (0.466, 0.626, 0.874)
O (0.466, 0.874, 0.626)
O (0.496, 0.652, 0.652)
O (0.496, 0.848, 0.848)
O (0.504, 0.152, 0.152)
O (0.504, 0.348, 0.348)
O (0.534, 0.126, 0.374)
O (0.534, 0.374, 0.126)
O (0.564, 0.234, 0.936)
O (0.564, 0.266, 0.564)
O (0.564, 0.564, 0.266)
O (0.564, 0.936, 0.234)
O (0.626, 0.034, 0.626)
O (0.626, 0.466, 0.874)
O (0.626, 0.626, 0.034)
O (0.626, 0.874, 0.466)
O (0.652, 0.004, 0.848)
O (0.652, 0.496, 0.652)
O (0.652, 0.652, 0.496)
O (0.652, 0.848, 0.004)
O (0.675, 0.675, 0.825)
O (0.675, 0.825, 0.675)
O (0.734, 0.064, 0.064)
O (0.734, 0.436, 0.436)
O (0.766, 0.064, 0.436)
O (0.766, 0.436, 0.064)
O (0.825, 0.675, 0.675)
O (0.825, 0.825, 0.825)
O (0.848, 0.004, 0.652)
O (0.848, 0.496, 0.848)
O (0.848, 0.652, 0.004)
O (0.848, 0.848, 0.496)
O (0.874, 0.034, 0.874)
O (0.874, 0.466, 0.626)
O (0.874, 0.626, 0.466)
O (0.874, 0.874, 0.034)
O (0.936, 0.234, 0.564)
O (0.936, 0.266, 0.936)
O (0.936, 0.564, 0.234)
O (0.936, 0.936, 0.266)
O (0.966, 0.126, 0.126)
O (0.966, 0.374, 0.374)
O (0.996, 0.152, 0.348)
O (0.996, 0.348, 0.152)

***

(11)
K3MoP2O8: optimized geometry, PBE with a Hubbard U.

Computed properties:
As for the space group: P-3m1, No. 164. The calculated total energy comes out at -6.5287 eV/atom.

a b c (Å): 5.560 5.560 7.769
angles (deg): 90.00 90.00 120.00
Sites, in units of the cell vectors:
K (0.000, 0.000, 0.000)
K (0.333, 0.667, 0.739)
K (0.667, 0.333, 0.261)
Mo (0.000, 0.000, 0.500)
P (0.333, 0.667, 0.268)
P (0.667, 0.333, 0.732)
O (0.180, 0.361, 0.336)
O (0.180, 0.820, 0.336)
O (0.333, 0.667, 0.073)
O (0.361, 0.180, 0.664)
O (0.639, 0.820, 0.336)
O (0.667, 0.333, 0.927)
O (0.820, 0.180, 0.664)
O (0.820, 0.639, 0.664)